Below is Ho2BeVO6 after structural relaxation, with properties calculated at the PBE with a Hubbard U level.

Calculated total energy in eV/atom: -7.85
Size of the total moment in μB per cell: 2.00

a b c (Å): 5.197 5.489 8.898
angles (deg): 90.00 125.36 90.00
Space group P2_1/c (No. 14)
Asymmetric unit:
1 Ho 0.231 0.068 0.249 [4 per cell]
2 Be 0.000 0.000 0.500 [2 per cell]
3 V 0.500 0.000 0.000 [2 per cell]
4 O 0.145 0.203 0.951 [4 per cell]
5 O 0.248 0.696 0.952 [4 per cell]
6 O 0.338 0.023 0.747 [4 per cell]